Record 1
First-principles (GGA-PBE) data for an optimized crystal structure of ZrCrOs2, as listed in Alexandria.

Values from the calculation:
Calculated formation energy   0.195 eV per atom

Cell lengths 6.2753, 6.2753, 6.2753 Å; angles 90.00, 90.00, 90.00 degrees
Closest atoms and distances in Å follow each position.
Space group F-43m (No. 216)
Asymmetric unit:
Zr1 0.0000 0.0000 0.0000 (multiplicity 4)  4 Cr 2.72, 4 Os 2.72
Cr1 0.2500 0.2500 0.2500 (multiplicity 4)  4 Os 2.72, 4 Zr 2.72
Os1 0.0000 0.0000 0.5000 (multiplicity 4)  4 Os 2.72, 4 Cr 2.72
Os2 0.2500 0.2500 0.7500 (multiplicity 4)  4 Zr 2.72, 4 Os 2.72


Record 2
First-principles (GGA-PBE) data for an optimized crystal structure of Pu3Pa5N8, as listed in Alexandria.

Values from the calculation:
Energy relative to the elements, uncorrected   -24.3 eV/f.u.

Cell lengths 6.9935, 6.9935, 17.1038 Å; angles 90.00, 90.00, 120.00 degrees
Closest atoms and distances in Å follow each position.
Space group R-3m (No. 166, hexagonal axes)
Asymmetric unit:
Pu1 0.0000 0.5000 0.0000 (multiplicity 9)  6 N 2.50
Pa1 0.0000 0.0000 0.0000 (multiplicity 3)  6 N 2.47
Pa2 0.0000 0.0000 0.5000 (multiplicity 3)  6 N 2.47
Pa3 0.0000 0.5000 0.5000 (multiplicity 9)  6 N 2.44
N1 0.0000 0.0000 0.2473 (multiplicity 6)  3 Pa 2.44, 3 Pu 2.50
N2 0.0035 0.5017 0.7520 (multiplicity 18)  4 Pa 2.44-2.47, 2 Pu 2.50


Record 3
First-principles (GGA-PBE) data for an optimized crystal structure of RbAgSbRh, as listed in Alexandria.

Values from the calculation:
Energy relative to the elements, uncorrected   -1.0 eV/f.u.

Cell lengths 4.1454, 4.1454, 13.5646 Å; angles 90.00, 90.00, 90.00 degrees
Closest atoms and distances in Å follow each position.
Space group P4/nmm (No. 129, origin choice 2)
Asymmetric unit:
Rb1 0.2500 0.2500 0.2204 (multiplicity 2)  4 Ag 3.64, 4 Sb 3.68
Ag1 0.2500 0.7500 0.0000 (multiplicity 2)  4 Ag 2.93
Sb1 0.2500 0.2500 0.6152 (multiplicity 2)  4 Rh 2.60
Rh1 0.2500 0.7500 0.5000 (multiplicity 2)  4 Sb 2.60


Record 4
First-principles (GGA-PBE) data for an optimized crystal structure of ZrBi3Se, as listed in Alexandria.

Values from the calculation:
Distance to the lowest polymorph of the same formula   1.24 eV/f.u.
Energy relative to the elements, uncorrected   3.2 eV/f.u.

Cell lengths 5.4661, 5.4661, 5.4661 Å; angles 90.00, 90.00, 90.00 degrees
Closest atoms and distances in Å follow each position.
Space group Pm-3m (No. 221)
Asymmetric unit:
Zr1 0.0000 0.0000 0.0000 (multiplicity 1)  12 Bi 3.87
Bi1 0.0000 0.5000 0.5000 (multiplicity 3)  2 Se 2.73
Se1 0.5000 0.5000 0.5000 (multiplicity 1)  6 Bi 2.73


Record 5
First-principles (GGA-PBE) data for an optimized crystal structure of KNdMgBr6, as listed in Alexandria.

Values from the calculation:
Energy relative to the elements, uncorrected   -15.5 eV/f.u.

Cell lengths 7.3121, 7.3121, 14.4280 Å; angles 90.00, 90.00, 120.00 degrees
Closest atoms and distances in Å follow each position.
Space group P-31c (No. 163)
Asymmetric unit:
K1 0.0000 0.0000 0.0000 (multiplicity 2)  6 Br 3.37
Nd1 0.3333 0.6667 0.2500 (multiplicity 2)  6 Br 2.91
Mg1 0.3333 0.6667 0.7500 (multiplicity 2)  6 Br 2.72
Br1 0.0203 0.3808 0.6390 (multiplicity 12)  1 Mg 2.72, 1 Nd 2.91


Record 6
First-principles (GGA-PBE) data for an optimized crystal structure of ErPaOsAu, as listed in Alexandria.

Values from the calculation:
Calculated formation energy   -0.326 eV per atom

Cell lengths 7.0080, 7.0080, 7.0080 Å; angles 90.00, 90.00, 90.00 degrees
Closest atoms and distances in Å follow each position.
Space group F-43m (No. 216)
Asymmetric unit:
Er1 0.0000 0.0000 0.0000 (multiplicity 4)  4 Os 3.03, 4 Au 3.03
Pa1 0.0000 0.0000 0.5000 (multiplicity 4)  4 Os 3.03, 4 Au 3.03
Os1 0.2500 0.2500 0.2500 (multiplicity 4)  4 Pa 3.03, 4 Er 3.03
Au1 0.2500 0.2500 0.7500 (multiplicity 4)  4 Pa 3.03, 4 Er 3.03


Record 7
First-principles (GGA-PBE) data for an optimized crystal structure of Tl2ZnI, as listed in Alexandria.

Values from the calculation:
Energy relative to the elements, uncorrected   0.1 eV/f.u.

Cell lengths 6.3604, 6.3604, 16.6434 Å; angles 90.00, 90.00, 90.00 degrees
Closest atoms and distances in Å follow each position.
Space group I-42d (No. 122)
Asymmetric unit:
Tl1 0.1676 0.2500 0.1250 (multiplicity 8)  2 Zn 2.83
Zn1 0.0000 0.0000 0.0000 (multiplicity 4)  4 Tl 2.83
I1 0.0000 0.0000 0.5000 (multiplicity 4)  4 Tl 3.37


Record 8
First-principles (GGA-PBE) data for an optimized crystal structure of RbNaZnSe2, as listed in Alexandria.

Values from the calculation:
Energy relative to the elements, uncorrected   -3.6 eV/f.u.

Cell lengths 5.5992, 8.0157, 6.3701 Å; angles 90.00, 90.00, 90.00 degrees
Closest atoms and distances in Å follow each position.
Space group Pmma (No. 51)
Asymmetric unit:
Rb1 0.2500 0.0000 0.2355 (multiplicity 2)  6 Se 3.59-3.60
Na1 0.2500 0.5000 0.4315 (multiplicity 2)  2 Se 2.91, 2 Na 2.93, 2 Zn 3.08
Zn1 0.0000 0.5000 0.0000 (multiplicity 2)  4 Se 2.61, 2 Zn 2.80
Se1 0.2500 0.2794 0.7934 (multiplicity 4)  2 Zn 2.61, 1 Na 2.91


Record 9
First-principles (GGA-PBE) data for an optimized crystal structure of TbTmLuIn, as listed in Alexandria.

Values from the calculation:
Calculated formation energy   -0.135 eV per atom

Cell lengths 7.6322, 7.6322, 7.6322 Å; angles 90.00, 90.00, 90.00 degrees
Closest atoms and distances in Å follow each position.
Space group F-43m (No. 216)
Asymmetric unit:
Tb1 0.0000 0.0000 0.0000 (multiplicity 4)  4 Lu 3.30, 4 In 3.30
Tm1 0.0000 0.0000 0.5000 (multiplicity 4)  4 In 3.30, 4 Lu 3.30
Lu1 0.2500 0.2500 0.7500 (multiplicity 4)  4 Tm 3.30, 4 Tb 3.30
In1 0.2500 0.2500 0.2500 (multiplicity 4)  4 Tb 3.30, 4 Tm 3.30


Record 10
First-principles (GGA-PBE) data for an optimized crystal structure of Ni2HgSb, as listed in Alexandria.

Values from the calculation:
Energy relative to the elements, uncorrected   0.7 eV/f.u.

Cell lengths 7.4422, 3.7124, 5.3826 Å; angles 90.00, 109.23, 90.00 degrees
Closest atoms and distances in Å follow each position.
Space group C2/m (No. 12)
Asymmetric unit:
Ni1 0.2403 0.0000 0.2101 (multiplicity 4)  3 Sb 2.54-2.57, 3 Hg 2.73-2.76
Hg1 0.0000 0.0000 0.5000 (multiplicity 2)  6 Ni 2.73-2.76
Sb1 0.0000 0.5000 0.0000 (multiplicity 2)  6 Ni 2.54-2.57


Record 11
First-principles (GGA-PBE) data for an optimized crystal structure of Sn4BiPb, as listed in Alexandria.

Values from the calculation:
Calculated formation energy   0.146 eV per atom
Distance to the lowest polymorph of the same formula   0.17 eV/f.u.

Cell lengths 8.9422, 8.9422, 8.9422 Å; angles 90.00, 90.00, 90.00 degrees
Closest atoms and distances in Å follow each position.
Space group F-43m (No. 216)
Asymmetric unit:
Sn1 0.1252 0.1252 0.1252 (multiplicity 16)  6 Sn 3.16-3.17
Bi1 0.0000 0.0000 0.5000 (multiplicity 4)  12 Sn 3.71, 4 Pb 3.87
Pb1 0.2500 0.2500 0.7500 (multiplicity 4)  12 Sn 3.71, 4 Bi 3.87


Record 12
First-principles (GGA-PBE) data for an optimized crystal structure of PrIn3Hg12, as listed in Alexandria.

Values from the calculation:
Calculated formation energy   -0.088 eV per atom

Cell lengths 4.9864, 4.9864, 16.9965 Å; angles 90.00, 90.00, 90.00 degrees
Closest atoms and distances in Å follow each position.
Space group P4/mmm (No. 123)
Asymmetric unit:
Pr1 0.0000 0.0000 0.0000 (multiplicity 1)  12 Hg 3.30-3.53
In1 0.0000 0.0000 0.2505 (multiplicity 2)  12 Hg 3.24-3.53
In2 0.0000 0.0000 0.5000 (multiplicity 1)  12 Hg 3.30-3.53
Hg1 0.0000 0.5000 0.1272 (multiplicity 4)  8 Hg 3.22-3.53, 2 In 3.26, 2 Pr 3.30
Hg2 0.0000 0.5000 0.3727 (multiplicity 4)  4 In 3.24-3.30, 8 Hg 3.28-3.53
Hg3 0.5000 0.5000 0.0000 (multiplicity 1)  8 Hg 3.30, 4 Pr 3.53
Hg4 0.5000 0.5000 0.2473 (multiplicity 2)  8 Hg 3.22-3.28, 4 In 3.53
Hg5 0.5000 0.5000 0.5000 (multiplicity 1)  8 Hg 3.30, 4 In 3.53